# PBE RbCe2CdS5, optimized geometry
# - Uncorrected formation energy: -1.486 eV/atom
data_RbCe2CdS5
_chemical_formula_sum 'Rb2 Ce4 Cd2 S10'
_symmetry_space_group_name_H-M 'P 1'
_symmetry_Int_Tables_number 1
_cell_length_a 7.8826
_cell_length_b 7.8826
_cell_length_c 9.2041
_cell_angle_alpha 115.35
_cell_angle_beta 115.35
_cell_angle_gamma 90.00
loop_
_symmetry_equiv_pos_as_xyz
'x,y,z'
loop_
_atom_site_label
_atom_site_fract_x
_atom_site_fract_y
_atom_site_fract_z
Ce1 0.1637 0.3363 0.0000
S1 0.7340 0.2340 0.7613
S2 0.5000 0.5000 0.0000
Cd1 0.2500 0.7500 0.5000
S3 0.7660 0.9727 0.2387
S4 0.5273 0.7340 0.7613
Rb1 0.2500 0.2500 0.5000
S5 0.2340 0.0273 0.7613
Rb2 0.7500 0.7500 0.5000
S6 0.9727 0.4727 0.2387
S7 0.0273 0.5273 0.7613
Ce2 0.6637 0.1637 0.0000
Ce3 0.8363 0.6637 0.0000
Cd2 0.7500 0.2500 0.5000
S8 0.4727 0.2660 0.2387
S9 0.2660 0.7660 0.2387
Ce4 0.3363 0.8363 0.0000
S10 0.0000 0.0000 0.0000